Record 1
First-principles (PBE) data for a relaxed structure of LaTl2RuPb, as listed in Alexandria via LeMat-Bulk.

CIF file:
```
data_LaTl2RuPb
_cell_length_a 5.370
_cell_length_b 5.370
_cell_length_c 5.178
_cell_angle_alpha 90.00
_cell_angle_beta 90.00
_cell_angle_gamma 90.00
_symmetry_space_group_name_H-M 'P 4/m m m'
_symmetry_Int_Tables_number 123
_symmetry_space_group_name_Hall '-P 4 2'
loop_
_atom_site_label
_atom_site_fract_x
_atom_site_fract_y
_atom_site_fract_z
_atom_site_occupancy
La1 0.000 0.000 0.000 1
Tl1 0.000 0.500 0.500 1
Ru1 0.000 0.000 0.500 1
Pb1 0.500 0.500 0.000 1
```

***

Record 2
First-principles (PBE) data for a relaxed structure of LaYRuPb2, as listed in Alexandria via LeMat-Bulk.

CIF file:
```
data_LaYRuPb2
_cell_length_a 5.914
_cell_length_b 5.914
_cell_length_c 5.713
_cell_angle_alpha 90.00
_cell_angle_beta 90.00
_cell_angle_gamma 90.00
_symmetry_space_group_name_H-M 'P 4/m m m'
_symmetry_Int_Tables_number 123
_symmetry_space_group_name_Hall '-P 4 2'
loop_
_atom_site_label
_atom_site_fract_x
_atom_site_fract_y
_atom_site_fract_z
_atom_site_occupancy
La1 0.000 0.000 0.000 1
Y1 0.000 0.000 0.500 1
Ru1 0.500 0.500 0.500 1
Pb1 0.000 0.500 0.000 1
```

***

Record 3
First-principles (PBE) data for a relaxed structure of LaY2RuPb, as listed in Alexandria via LeMat-Bulk.

CIF file:
```
data_LaY2RuPb
_cell_length_a 5.403
_cell_length_b 5.403
_cell_length_c 5.254
_cell_angle_alpha 90.00
_cell_angle_beta 90.00
_cell_angle_gamma 90.00
_symmetry_space_group_name_H-M 'P 4/m m m'
_symmetry_Int_Tables_number 123
_symmetry_space_group_name_Hall '-P 4 2'
loop_
_atom_site_label
_atom_site_fract_x
_atom_site_fract_y
_atom_site_fract_z
_atom_site_occupancy
La1 0.000 0.000 0.000 1
Y1 0.000 0.500 0.500 1
Ru1 0.000 0.000 0.500 1
Pb1 0.500 0.500 0.000 1
```

***

Record 4
First-principles (PBE) data for a relaxed structure of La2ZnRuPb, as listed in Alexandria via LeMat-Bulk.

CIF file:
```
data_La2ZnRuPb
_cell_length_a 5.358
_cell_length_b 5.358
_cell_length_c 4.956
_cell_angle_alpha 90.00
_cell_angle_beta 90.00
_cell_angle_gamma 90.00
_symmetry_space_group_name_H-M 'P 4/m m m'
_symmetry_Int_Tables_number 123
_symmetry_space_group_name_Hall '-P 4 2'
loop_
_atom_site_label
_atom_site_fract_x
_atom_site_fract_y
_atom_site_fract_z
_atom_site_occupancy
La1 0.000 0.500 0.000 1
Zn1 0.000 0.000 0.500 1
Ru1 0.000 0.000 0.000 1
Pb1 0.500 0.500 0.500 1
```

***

Number 1: total DFT energy (no corrections) -4.5889 eV per atom. Number 2: total DFT energy (no corrections) -4.0279 eV per atom. Number 3: total DFT energy (no corrections) -6.4763 eV per atom. Number 4: total DFT energy (no corrections) -5.1285 eV per atom.